A plane-wave DFT calculation with GGA-PBE was carried out for a geometry-optimized Ca2Pm2Au3 structure.

Geometry as POSCAR:
```
Ca2Pm2Au3
1.0
-1.513 3.700 3.240
-3.093 -3.994 -0.953
5.511 -5.374 4.649
Ca Pm Au
2 2 3
Direct
0.255 0.628 0.883
0.745 0.372 0.117
0.755 0.877 0.632
0.245 0.123 0.368
0.483 0.241 0.724
0.517 0.759 0.276
0.000 0.000 0.000
```

Calculated values
The value obtained for the electronic total energy is -0.14676 Ha/atom. As for the volume: 27.83 Å³/atom. The symmetry is C2/m (12). The calculation puts the magnetic moment at 0.000 μB per formula unit. As for the formation energy from the elements: -0.660 eV/atom.